# 1
! BeBTe2P, relaxed, DFT PBE; values from VASP
! SG	P4/mmm, No. 123
! energy	-0.2721	Ry/atom
! ΔE_f (raw)	0.72	eV/atom
&SYSTEM
  ibrav = 0, nat = 5, ntyp = 4
/
ATOMIC_SPECIES
Be 9.01 Be.upf
B 10.81 B.upf
Te 127.60 Te.upf
P 30.97 P.upf
CELL_PARAMETERS angstrom
4.989 0.000 0.000
0.000 4.989 0.000
0.000 0.000 3.649
ATOMIC_POSITIONS angstrom
Be 0.000 0.000 0.000
B 0.000 0.000 1.825
Te 0.000 2.495 1.825
Te 2.495 0.000 1.825
P 2.495 2.495 0.000

***

# 2
! PaBeB4, relaxed, DFT PBE; values from VASP
! SG	Cmmm, No. 65
! energy	-0.5212	Ry/atom
&SYSTEM
  ibrav = 0, nat = 12, ntyp = 3
/
ATOMIC_SPECIES
Pa 231.04 Pa.upf
Be 9.01 Be.upf
B 10.81 B.upf
CELL_PARAMETERS angstrom
3.612 -4.646 0.000
3.612 4.646 0.000
0.000 0.000 3.479
ATOMIC_POSITIONS angstrom
Pa 3.612 2.819 0.000
Pa 3.612 -2.819 0.000
Be 2.343 0.000 0.000
Be 4.881 0.000 0.000
B 2.005 1.467 1.740
B 0.900 0.000 1.740
B 3.612 0.840 1.740
B 2.005 -1.467 1.740
B 5.219 1.467 1.740
B 3.612 -0.840 1.740
B 6.325 0.000 1.740
B 5.219 -1.467 1.740